Record 1
# Ce6SnTe3As2 (GGA-PBE, relaxed)
data_Ce6SnTe3As2
_chemical_formula_sum 'Ce12 Sn2 Te6 As4'
_space_group_name_H-M_alt 'C 1 2/m 1'
_space_group_IT_number 12
_space_group_name_Hall '-C 2y'
_cell_length_a 19.257
_cell_length_b 4.389
_cell_length_c 8.868
_cell_angle_alpha 90.00
_cell_angle_beta 103.77
_cell_angle_gamma 90.00
loop_
_atom_site_label
_atom_site_fract_x
_atom_site_fract_y
_atom_site_fract_z
Ce1 0.008 0.000 0.252
Ce2 0.168 0.500 0.103
Ce3 0.172 0.500 0.570
Sn1 0.000 0.500 0.000
Te1 0.000 0.500 0.500
Te2 0.163 0.000 0.833
As1 0.168 0.000 0.336
# Size of the total moment ... 5.7 μB per formula unit
# Formation energy (no corrections) ... -1261 meV/atom
# Raw total energy ... -6.121 eV/atom

Record 2
# Li3HfSe (GGA-PBE, relaxed)
data_Li3HfSe
_chemical_formula_sum 'Li3 Hf1 Se1'
_space_group_name_H-M_alt 'P m -3 m'
_space_group_IT_number 221
_space_group_name_Hall '-P 4 2 3'
_cell_length_a 4.651
_cell_length_b 4.651
_cell_length_c 4.651
_cell_angle_alpha 90.00
_cell_angle_beta 90.00
_cell_angle_gamma 90.00
loop_
_atom_site_label
_atom_site_fract_x
_atom_site_fract_y
_atom_site_fract_z
Li1 0.000 0.000 0.500
Hf1 0.500 0.500 0.500
Se1 0.000 0.000 0.000
# Size of the total moment ... 0.4 μB per formula unit
# Formation energy (no corrections) ... 158 meV/atom
# E above lowest polymorph ... 0.0 meV per atom
# Raw total energy ... -3.678 eV/atom

Record 3
# LiPm3Si6Pt2 (GGA-PBE, relaxed)
data_LiPm3Si6Pt2
_chemical_formula_sum 'Li1 Pm3 Si6 Pt2'
_space_group_name_H-M_alt 'P -3 m 1'
_space_group_IT_number 164
_space_group_name_Hall '-P 3 2"'
_cell_length_a 5.8534
_cell_length_b 5.8534
_cell_length_c 8.0561
_cell_angle_alpha 90.00
_cell_angle_beta 90.00
_cell_angle_gamma 120.00
loop_
_atom_site_label
_atom_site_fract_x
_atom_site_fract_y
_atom_site_fract_z
Li1 0.0000 0.0000 0.0000
Pm1 0.0000 0.0000 0.5000
Pm2 0.3333 0.6667 0.1326
Si1 0.1948 0.3897 0.7877
Pt1 0.3333 0.6667 0.5358
# Size of the total moment ... 0.0 μB per formula unit
# Formation energy (no corrections) ... -460 meV/atom
# Raw total energy ... -5.526 eV/atom

Record 4
# CsMg2Te2 (GGA-PBE, relaxed)
data_CsMg2Te2
_chemical_formula_sum 'Cs2 Mg4 Te4'
_space_group_name_H-M_alt 'I 4/m m m'
_space_group_IT_number 139
_space_group_name_Hall '-I 4 2'
_cell_length_a 5.044
_cell_length_b 5.044
_cell_length_c 15.039
_cell_angle_alpha 90.00
_cell_angle_beta 90.00
_cell_angle_gamma 90.00
loop_
_atom_site_label
_atom_site_fract_x
_atom_site_fract_y
_atom_site_fract_z
Cs1 0.000 0.000 0.000
Mg1 0.000 0.500 0.250
Te1 0.000 0.000 0.348
# Size of the total moment ... 0.0 μB per formula unit
# Formation energy (no corrections) ... -718 meV/atom
# E above lowest polymorph ... 0.0 meV per atom
# Raw total energy ... -2.783 eV/atom

Record 5
# Ba2HgSe (GGA-PBE, relaxed)
data_Ba2HgSe
_chemical_formula_sum 'Ba8 Hg4 Se4'
_space_group_name_H-M_alt 'F m -3 m'
_space_group_IT_number 225
_space_group_name_Hall '-F 4 2 3'
_cell_length_a 8.246
_cell_length_b 8.246
_cell_length_c 8.246
_cell_angle_alpha 90.00
_cell_angle_beta 90.00
_cell_angle_gamma 90.00
loop_
_atom_site_label
_atom_site_fract_x
_atom_site_fract_y
_atom_site_fract_z
Ba1 0.250 0.250 0.250
Hg1 0.000 0.000 0.000
Se1 0.000 0.000 0.500
# Size of the total moment ... 0.0 μB per formula unit
# Formation energy (no corrections) ... -939 meV/atom
# E above lowest polymorph ... 207.5 meV per atom
# Raw total energy ... -2.847 eV/atom

Record 6
# HgPbSN2 (GGA-PBE, relaxed)
data_HgPbSN2
_chemical_formula_sum 'Hg1 Pb1 S1 N2'
_space_group_name_H-M_alt 'P 4/m m m'
_space_group_IT_number 123
_space_group_name_Hall '-P 4 2'
_cell_length_a 4.376
_cell_length_b 4.376
_cell_length_c 5.299
_cell_angle_alpha 90.00
_cell_angle_beta 90.00
_cell_angle_gamma 90.00
loop_
_atom_site_label
_atom_site_fract_x
_atom_site_fract_y
_atom_site_fract_z
Hg1 0.000 0.000 0.000
Pb1 0.500 0.500 0.500
S1 0.000 0.000 0.500
N1 0.000 0.500 0.000
# Size of the total moment ... 2.9 μB per formula unit
# Formation energy (no corrections) ... 1547 meV/atom
# E above lowest polymorph ... 0.0 meV per atom
# Raw total energy ... -3.410 eV/atom